# Sr2PrCdHg6

Sr2PrCdHg6 after structural relaxation (GGA-PBE, the Alexandria database).

```
10
Lattice="0.000 5.719 5.719 5.719 0.000 5.719 5.719 5.719 0.000" Properties=species:S:1:pos:R:3 pbc="T T T"
Sr 2.859 2.859 2.859
Sr 8.578 8.578 8.578
Pr 0.000 0.000 0.000
Cd 5.719 5.719 5.719
Hg 5.719 5.719 2.954
Hg 5.719 2.954 5.719
Hg 8.483 5.719 5.719
Hg 2.954 5.719 5.719
Hg 5.719 8.483 5.719
Hg 5.719 5.719 8.483
```

Results
Volume, Å³/atom: 37.4
Spin magnetization, μB/f.u.: 0.00
Space-group type: No. 225
Calculated formation energy, eV per formula unit: -0.78